--- P ---
Entry from the Alexandria database: a geometry-optimized LaTbYSc structure (PBE).

## Properties
Magnetic moment: 0.0 μB/cell

```
4
Lattice="0.000 3.982 3.982 3.982 0.000 3.982 3.982 3.982 0.000" Properties=species:S:1:pos:R:3 pbc="T T T"
La 0.000 0.000 0.000
Tb 3.982 3.982 3.982
Y 5.973 5.973 5.973
Sc 1.991 1.991 1.991
```

--- Q ---
Entry from the Alexandria database: a geometry-optimized LaTbYSc structure (PBE).

## Properties
Magnetic moment: 0.0 μB/cell

```
4
Lattice="3.615 0.000 0.000 0.000 5.679 0.000 0.000 0.000 6.137" Properties=species:S:1:pos:R:3 pbc="T T T"
La 0.000 0.000 0.000
Tb 1.808 2.839 0.989
Y 0.000 2.839 3.991
Sc 1.808 0.000 3.001
```

Most stable structure - Q; separation to the second - 50 meV/atom.